Entry from the Alexandria database: BaUCu2O6 after structural relaxation (PBE).

a = 6.881 Å, b = 7.425 Å, c = 7.425 Å
α = 80.96°, β = 70.69°, γ = 70.69°
Fractional positions:
Ba 0.250 0.889 0.111
Ba 0.750 0.111 0.889
U 0.250 0.295 0.705
U 0.750 0.705 0.295
Cu 0.353 0.764 0.652
Cu 0.147 0.348 0.236
Cu 0.647 0.236 0.348
Cu 0.853 0.652 0.764
O 0.213 0.013 0.763
O 0.287 0.237 0.987
O 0.787 0.987 0.237
O 0.713 0.763 0.013
O 0.434 0.745 0.372
O 0.066 0.628 0.255
O 0.566 0.255 0.628
O 0.934 0.372 0.745
O 0.162 0.608 0.730
O 0.338 0.270 0.392
O 0.838 0.392 0.270
O 0.662 0.730 0.608

Results
total energy: -0.519 Ry per atom
formation energy without anion corrections: -1.9449 eV per atom
density: 5.89 g/cm³
total moment: 2.05 μB/f.u.